Entry from the Alexandria database: a relaxed YPaGePd crystal (PBE).

## Properties
**ρ**: 9.21 g/cm³
**Formation energy**: -446 meV per atom
**Crystal system**: cubic
**Raw total energy**: -0.253 hartree per atom
**Calculated volume**: 90.0 Å³/cell

Lattice parameters (Å, degrees): 5.0297 5.0297 5.0297 60.00 60.00 60.00
Sites, in units of the cell vectors:
Pd 0.7500 0.7500 0.7500
Pa 0.0000 0.0000 0.0000
Ge 0.2500 0.2500 0.2500
Y 0.5000 0.5000 0.5000